# 1
The following is a PBE calculation of crystalline NaCd3In7 at its relaxed geometry, from the Alexandria database.

Cell and atoms, written as POSCAR:
```
NaCd3In7
1.0
-0.8337 -4.8592 3.2358
0.8184 -4.3952 -6.3895
6.2388 1.8043 4.3169
Cd In Na
3 7 1
Direct
0.8032 0.4708 0.9415
0.8032 0.4708 0.5292
0.8032 0.0585 0.5292
0.4884 0.1324 0.2648
0.2450 0.3333 0.6667
0.0244 0.8643 0.7286
0.0244 0.8643 0.1357
0.4884 0.1324 0.8676
0.0244 0.2714 0.1357
0.4884 0.7352 0.8676
0.4220 0.6667 0.3333
```

Calculated values
- D(E_F) (states/eV/atom) = 0.30
- polymorph energy (0 for the lowest one) (meV/atom) = 26
- space group = No. 156
- DFT formation energy (eV per atom) = 0.033
- E (eV/f.u.) = -22.87
- total moment (μB per formula unit) = 0.000

***

# 2
The following is a PBE calculation of crystalline PaNi8Sb3 at its relaxed geometry, from the Alexandria database.

Cell and atoms, written as POSCAR:
```
PaNi8Sb3
1.0
-3.7134 -1.5809 3.0760
2.5799 -3.3574 -2.7968
5.3185 -0.8835 5.9665
Ni Pa Sb
8 1 3
Direct
0.9977 0.4988 0.7412
0.1662 0.3325 0.2611
0.5012 0.4988 0.7412
0.1662 0.8338 0.2611
0.3333 0.6667 0.5020
0.6675 0.8338 0.2611
0.5012 0.0023 0.7412
0.3333 0.6667 0.9924
0.0000 0.0000 0.5781
0.6667 0.3333 0.0265
0.6667 0.3333 0.4168
0.0000 0.0000 0.9773
```

Calculated values
- D(E_F) (states/eV/atom) = 1.15
- space group = No. 156
- E (eV/f.u.) = -69.55
- total moment (μB per formula unit) = 0.509

***

# 3
The following is a PBE calculation of crystalline Rb2TaReCl6 at its relaxed geometry, from the Alexandria database.

Cell and atoms, written as POSCAR:
```
Rb2TaReCl6
1.0
-4.3045 4.2339 4.1480
-5.0823 -5.2743 0.1096
-2.8002 -2.2666 5.8759
Cl Re Rb Ta
6 1 2 1
Direct
0.2484 0.7516 0.0000
0.7516 0.7516 0.0000
0.2484 0.2484 0.0000
0.7516 0.2484 0.0000
0.2479 0.2479 0.5042
0.7521 0.7521 0.4958
0.0000 0.0000 0.0000
0.7500 0.2500 0.5000
0.2500 0.7500 0.5000
0.5000 0.5000 0.0000
```

Calculated values
- D(E_F) (states/eV/atom) = 0.39
- space group = No. 139
- E (eV/f.u.) = -44.21
- total moment (μB per formula unit) = 1.999